The following is a DFT calculation (PBE) of a geometry-optimized Pr2NbReN6 structure.

As for the space group: No. 14. Its total magnetic moment is 0.00 Bohr magnetons per cell. As for the uncorrected formation energy: -0.802 eV/atom. The density of states at the Fermi level comes out at 10.41 states/eV/cell.

Cell and atoms, written as POSCAR:
```
Pr2NbReN6
1.0
5.673 0.000 0.000
0.000 5.703 0.000
-5.644 0.000 8.007
Pr Nb Re N
4 2 2 12
direct
0.244 0.036 0.250 Pr
0.244 0.464 0.750 Pr
0.756 0.536 0.250 Pr
0.756 0.964 0.750 Pr
0.500 0.000 0.000 Nb
0.500 0.500 0.500 Nb
0.000 0.000 0.500 Re
0.000 0.500 0.000 Re
0.175 0.221 0.963 N
0.175 0.279 0.463 N
0.238 0.710 0.963 N
0.238 0.790 0.463 N
0.313 0.010 0.744 N
0.313 0.490 0.244 N
0.687 0.510 0.756 N
0.687 0.990 0.256 N
0.762 0.210 0.537 N
0.762 0.290 0.037 N
0.825 0.721 0.537 N
0.825 0.779 0.037 N
```